## w
! ReTcNi, optimized geometry, DFT PBE; values from VASP
! - symmetry = No. 107
! - DOS at the Fermi energy (states/eV per cell) = 3.906
&SYSTEM
  ibrav = 0, nat = 3, ntyp = 3
/
ATOMIC_SPECIES
Ni 58.69 Ni.upf
Re 186.21 Re.upf
Tc 98.00 Tc.upf
CELL_PARAMETERS angstrom
-2.233 -1.480 5.200
-3.566 -3.085 3.460
1.534 -2.106 0.770
ATOMIC_POSITIONS crystal
Ni 0.999 0.999 0.001
Re 0.338 0.338 0.662
Tc 0.664 0.664 0.336



## x
! ReTcNi, optimized geometry, DFT PBE; values from VASP
! - symmetry = No. 2
! - DOS at the Fermi energy (states/eV per cell) = 5.817
&SYSTEM
  ibrav = 0, nat = 6, ntyp = 3
/
ATOMIC_SPECIES
Re 186.21 Re.upf
Ni 58.69 Ni.upf
Tc 98.00 Tc.upf
CELL_PARAMETERS angstrom
-0.983 2.385 -0.581
-2.059 0.157 4.973
3.835 3.636 2.869
ATOMIC_POSITIONS crystal
Re 0.374 0.910 0.326
Ni 0.001 0.759 0.996
Ni 0.999 0.241 0.004
Tc 0.317 0.431 0.321
Re 0.626 0.090 0.674
Tc 0.683 0.569 0.679



Most stable: x. Least stable: w.



## w
! ReTcNi, optimized geometry, DFT PBE; values from VASP
! - symmetry = No. 216
! - DOS at the Fermi energy (states/eV per cell) = 2.035
&SYSTEM
  ibrav = 0, nat = 3, ntyp = 3
/
ATOMIC_SPECIES
Re 186.21 Re.upf
Ni 58.69 Ni.upf
Tc 98.00 Tc.upf
CELL_PARAMETERS angstrom
4.101 0.000 0.000
2.051 3.552 0.000
2.051 1.184 3.349
ATOMIC_POSITIONS crystal
Re 0.750 0.750 0.750
Ni 0.500 0.500 0.500
Tc 0.000 0.000 0.000



## x
! ReTcNi, optimized geometry, DFT PBE; values from VASP
! - symmetry = No. 44
! - DOS at the Fermi energy (states/eV per cell) = 2.993
&SYSTEM
  ibrav = 0, nat = 3, ntyp = 3
/
ATOMIC_SPECIES
Tc 98.00 Tc.upf
Ni 58.69 Ni.upf
Re 186.21 Re.upf
CELL_PARAMETERS angstrom
-1.724 2.747 3.301
-3.447 -1.585 2.650
4.366 -0.546 -1.436
ATOMIC_POSITIONS crystal
Tc 0.664 0.664 0.000
Ni 0.000 0.000 0.000
Re 0.336 0.336 0.000



Most stable: x. Least stable: w.



## w
! ReTc2Ni, optimized geometry, DFT PBE; values from VASP
! - symmetry = No. 119
! - DOS at the Fermi energy (states/eV per cell) = 3.234
&SYSTEM
  ibrav = 0, nat = 4, ntyp = 3
/
ATOMIC_SPECIES
Tc 98.00 Tc.upf
Ni 58.69 Ni.upf
Re 186.21 Re.upf
CELL_PARAMETERS angstrom
4.652 0.017 0.007
1.503 4.403 -0.007
-3.081 -2.204 2.700
ATOMIC_POSITIONS crystal
Tc 0.750 0.250 0.500
Ni 0.500 0.500 0.000
Tc 0.000 0.000 0.000
Re 0.250 0.750 0.500



## x
! ReTc2Ni, optimized geometry, DFT PBE; values from VASP
! - symmetry = No. 65
! - DOS at the Fermi energy (states/eV per cell) = 4.320
&SYSTEM
  ibrav = 0, nat = 4, ntyp = 3
/
ATOMIC_SPECIES
Ni 58.69 Ni.upf
Tc 98.00 Tc.upf
Re 186.21 Re.upf
CELL_PARAMETERS angstrom
-1.347 -4.004 1.916
3.700 -0.756 -2.693
1.654 0.468 2.141
ATOMIC_POSITIONS crystal
Ni 0.500 0.000 0.500
Tc 0.000 0.000 0.000
Re 0.000 0.500 0.500
Tc 0.500 0.500 0.000



Most stable: w. Least stable: x.



## w
! ReTc2Ni, optimized geometry, DFT PBE; values from VASP
! - symmetry = No. 166
! - DOS at the Fermi energy (states/eV per cell) = 3.118
&SYSTEM
  ibrav = 0, nat = 4, ntyp = 3
/
ATOMIC_SPECIES
Tc 98.00 Tc.upf
Ni 58.69 Ni.upf
Re 186.21 Re.upf
CELL_PARAMETERS angstrom
-6.169 -4.724 -4.297
-5.879 -6.311 -2.108
-7.566 -4.180 -2.029
ATOMIC_POSITIONS crystal
Tc 0.002 0.002 0.002
Ni 0.750 0.750 0.750
Tc 0.498 0.498 0.498
Re 0.250 0.250 0.250



## x
! ReTc2Ni, optimized geometry, DFT PBE; values from VASP
! - symmetry = No. 47
! - DOS at the Fermi energy (states/eV per cell) = 3.941
&SYSTEM
  ibrav = 0, nat = 4, ntyp = 3
/
ATOMIC_SPECIES
Ni 58.69 Ni.upf
Tc 98.00 Tc.upf
Re 186.21 Re.upf
CELL_PARAMETERS angstrom
-3.498 -0.464 1.538
-0.319 -2.278 -1.413
1.818 -5.078 2.605
ATOMIC_POSITIONS crystal
Ni 0.500 0.250 0.250
Tc 0.000 0.509 0.490
Tc 0.000 0.991 0.010
Re 0.500 0.750 0.750



## y
! ReTc2Ni, optimized geometry, DFT PBE; values from VASP
! - symmetry = No. 225
! - DOS at the Fermi energy (states/eV per cell) = 4.532
&SYSTEM
  ibrav = 0, nat = 4, ntyp = 3
/
ATOMIC_SPECIES
Ni 58.69 Ni.upf
Re 186.21 Re.upf
Tc 98.00 Tc.upf
CELL_PARAMETERS angstrom
-3.102 2.275 1.908
-1.947 3.182 -2.127
-4.079 -0.446 -1.268
ATOMIC_POSITIONS crystal
Ni 0.000 0.000 0.000
Re 0.500 0.500 0.500
Tc 0.250 0.250 0.250
Tc 0.750 0.750 0.750



Most stable: x. Least stable: y.



## w
! ReTc2Ni, optimized geometry, DFT PBE; values from VASP
! - symmetry = No. 12
! - DOS at the Fermi energy (states/eV per cell) = 5.394
&SYSTEM
  ibrav = 0, nat = 4, ntyp = 3
/
ATOMIC_SPECIES
Re 186.21 Re.upf
Tc 98.00 Tc.upf
Ni 58.69 Ni.upf
CELL_PARAMETERS angstrom
-0.126 0.971 4.516
-2.284 -0.613 3.971
2.319 -3.719 1.622
ATOMIC_POSITIONS crystal
Re 0.250 0.250 0.250
Tc 0.498 0.498 0.509
Ni 0.750 0.750 0.750
Tc 0.002 0.002 0.991



## x
! ReTc2Ni, optimized geometry, DFT PBE; values from VASP
! - symmetry = No. 6
! - DOS at the Fermi energy (states/eV per cell) = 3.643
&SYSTEM
  ibrav = 0, nat = 4, ntyp = 3
/
ATOMIC_SPECIES
Tc 98.00 Tc.upf
Re 186.21 Re.upf
Ni 58.69 Ni.upf
CELL_PARAMETERS angstrom
-0.462 -1.292 3.587
-0.809 -2.391 -0.966
4.241 -4.124 -0.939
ATOMIC_POSITIONS crystal
Tc 0.500 0.245 0.256
Tc 0.000 0.999 0.002
Re 0.500 0.758 0.740
Ni 0.000 0.499 0.501



Most stable: x. Least stable: w.



## w
! ReTc2Ni, optimized geometry, DFT PBE; values from VASP
! - symmetry = No. 8
! - DOS at the Fermi energy (states/eV per cell) = 5.073
&SYSTEM
  ibrav = 0, nat = 4, ntyp = 3
/
ATOMIC_SPECIES
Ni 58.69 Ni.upf
Re 186.21 Re.upf
Tc 98.00 Tc.upf
CELL_PARAMETERS angstrom
-3.540 -0.909 2.851
-2.257 -3.272 2.384
2.214 0.395 4.091
ATOMIC_POSITIONS crystal
Ni 0.501 0.501 0.495
Re 0.247 0.247 0.260
Tc 0.751 0.751 0.748
Tc 0.000 0.000 0.997



## x
! ReTc2Ni, optimized geometry, DFT PBE; values from VASP
! - symmetry = No. 216
! - DOS at the Fermi energy (states/eV per cell) = 4.517
&SYSTEM
  ibrav = 0, nat = 4, ntyp = 3
/
ATOMIC_SPECIES
Tc 98.00 Tc.upf
Ni 58.69 Ni.upf
Re 186.21 Re.upf
CELL_PARAMETERS angstrom
4.294 0.000 0.000
2.147 3.719 0.000
2.147 1.240 3.506
ATOMIC_POSITIONS crystal
Tc 0.250 0.250 0.250
Ni 0.500 0.500 0.500
Tc 0.000 0.000 0.000
Re 0.750 0.750 0.750



## y
! ReTc2Ni, optimized geometry, DFT PBE; values from VASP
! - symmetry = No. 99
! - DOS at the Fermi energy (states/eV per cell) = 2.694
&SYSTEM
  ibrav = 0, nat = 4, ntyp = 3
/
ATOMIC_SPECIES
Tc 98.00 Tc.upf
Ni 58.69 Ni.upf
Re 186.21 Re.upf
CELL_PARAMETERS angstrom
3.152 0.000 0.000
0.000 3.152 0.000
0.000 0.000 5.591
ATOMIC_POSITIONS crystal
Tc 0.500 0.500 0.275
Ni 0.000 0.000 0.503
Tc 0.000 0.000 0.998
Re 0.500 0.500 0.724



## z
! ReTc2Ni, optimized geometry, DFT PBE; values from VASP
! - symmetry = No. 123
! - DOS at the Fermi energy (states/eV per cell) = 3.729
&SYSTEM
  ibrav = 0, nat = 4, ntyp = 3
/
ATOMIC_SPECIES
Re 186.21 Re.upf
Ni 58.69 Ni.upf
Tc 98.00 Tc.upf
CELL_PARAMETERS angstrom
2.695 0.004 0.000
-0.005 2.695 0.000
0.000 0.000 7.643
ATOMIC_POSITIONS crystal
Re 0.500 0.500 0.750
Ni 0.500 0.500 0.250
Tc 0.000 0.000 0.491
Tc 0.000 0.000 0.009



Most stable: z. Least stable: x.



## w
! ReTc2Ni, optimized geometry, DFT PBE; values from VASP
! - symmetry = No. 160
! - DOS at the Fermi energy (states/eV per cell) = 4.312
&SYSTEM
  ibrav = 0, nat = 4, ntyp = 3
/
ATOMIC_SPECIES
Tc 98.00 Tc.upf
Ni 58.69 Ni.upf
Re 186.21 Re.upf
CELL_PARAMETERS angstrom
2.723 0.000 0.000
1.362 2.358 0.000
1.362 0.786 8.706
ATOMIC_POSITIONS crystal
Tc 0.081 0.081 0.757
Ni 0.666 0.666 0.003
Tc 0.252 0.252 0.243
Re 0.501 0.501 0.497



## x
! ReTc2Ni, optimized geometry, DFT PBE; values from VASP
! - symmetry = No. 123
! - DOS at the Fermi energy (states/eV per cell) = 3.052
&SYSTEM
  ibrav = 0, nat = 4, ntyp = 3
/
ATOMIC_SPECIES
Tc 98.00 Tc.upf
Re 186.21 Re.upf
Ni 58.69 Ni.upf
CELL_PARAMETERS angstrom
-0.003 -1.583 2.729
1.946 -2.148 -1.244
4.385 2.971 1.729
ATOMIC_POSITIONS crystal
Tc 0.000 0.000 0.022
Re 0.500 0.500 0.750
Ni 0.500 0.500 0.250
Tc 0.000 0.000 0.478



Most stable: w. Least stable: x.



## w
! ReTc2Ni, optimized geometry, DFT PBE; values from VASP
! - symmetry = No. 69
! - DOS at the Fermi energy (states/eV per cell) = 3.799
&SYSTEM
  ibrav = 0, nat = 4, ntyp = 3
/
ATOMIC_SPECIES
Re 186.21 Re.upf
Tc 98.00 Tc.upf
Ni 58.69 Ni.upf
CELL_PARAMETERS angstrom
-0.758 -1.170 4.413
-4.393 -1.400 0.397
3.338 -1.267 -2.950
ATOMIC_POSITIONS crystal
Re 0.250 0.750 0.500
Tc 0.500 0.500 0.000
Tc 0.000 0.000 0.000
Ni 0.750 0.250 0.500



## x
! ReTc2Ni, optimized geometry, DFT PBE; values from VASP
! - symmetry = No. 123
! - DOS at the Fermi energy (states/eV per cell) = 3.080
&SYSTEM
  ibrav = 0, nat = 4, ntyp = 3
/
ATOMIC_SPECIES
Tc 98.00 Tc.upf
Ni 58.69 Ni.upf
Re 186.21 Re.upf
CELL_PARAMETERS angstrom
3.809 0.000 0.000
0.000 3.810 0.000
0.000 0.000 3.790
ATOMIC_POSITIONS crystal
Tc 0.500 0.500 0.000
Ni 0.500 0.000 0.500
Tc 0.000 0.000 0.000
Re 0.000 0.500 0.500



Most stable: x. Least stable: w.